The following is a PBE-GGA calculation of a geometry-optimized Au2I3Br structure, from the Alexandria database.

Volume in Å³ per atom: 42.5
Electronic total energy in eV/atom: -2.21
Excess energy over the best structure of this formula in the dataset in meV per atom: 0

Cell: 5.0611 14.8974 9.2116 Å, 109.25 113.81 53.98°
Fractional coordinates of all 12 atoms:
Au (0.6618, 0.3773, 0.4799)
Au (0.3382, 0.6227, 0.5201)
Au (0.1116, 0.1072, 0.1613)
Au (0.8884, 0.8928, 0.8387)
I (0.4622, 0.6102, 0.2663)
I (0.5962, 0.1221, 0.9052)
I (0.8159, 0.3325, 0.2164)
I (0.5378, 0.3898, 0.7337)
I (0.1841, 0.6675, 0.7836)
I (0.4038, 0.8779, 0.0948)
Br (0.6111, 0.0861, 0.3889)
Br (0.3889, 0.9139, 0.6111)

The following is a PBE-GGA calculation of a geometry-optimized Tc2GeAu structure, from the Alexandria database.

Volume in Å³ per atom: 16.8
Fermi-level density of states in states/eV/cell: 9.08
Energy relative to the elements in meV per atom: 538
Electronic total energy in eV/atom: -6.62
Excess energy over the best structure of this formula in the dataset in meV per atom: 286

Cell: 7.2006 7.2006 5.7134 Å, 50.94 50.94 90.00°
Fractional coordinates of all 8 atoms:
Ge (0.5000, 0.5000, 0.0000)
Ge (0.2500, 0.7500, 0.5000)
Au (0.0000, 0.0000, 0.0000)
Au (0.7500, 0.2500, 0.5000)
Tc (0.5884, 0.1250, 0.2500)
Tc (0.1616, 0.6250, 0.2500)
Tc (0.3750, 0.4116, 0.7500)
Tc (0.8750, 0.8384, 0.7500)